## Rb2HoMo3O12 (GGA+U)

Data for a geometry-optimized Rb2HoMo3O12 structure.

## Properties
- crystal system = trigonal
- final energy (eV/atom) = -6.696

Geometry as CIF:
```
data_Rb2HoMo3O12
_symmetry_space_group_name_H-M 'R -3 m'
_symmetry_Int_Tables_number 166
_symmetry_space_group_name_Hall '-R 3 2"'
_cell_length_a 7.4998
_cell_length_b 7.4998
_cell_length_c 18.7196
_cell_angle_alpha 90.00
_cell_angle_beta 90.00
_cell_angle_gamma 120.00
loop_
_atom_site_label
_atom_site_type_symbol
_atom_site_fract_x
_atom_site_fract_y
_atom_site_fract_z
Rb1 Rb 0.0000 0.0000 0.1330
Ho1 Ho 0.0000 0.0000 0.5000
Mo1 Mo 0.0000 0.5000 0.0000
O1 O 0.0467 0.5233 0.0997
O2 O 0.0896 0.5448 0.3452
```